Entry from Alexandria via LeMat-Bulk: a geometry-optimized TmHgPb3 structure (PBE).

Cell lengths 3.5988, 3.6526, 11.2946 Å; angles 99.02, 99.11, 90.53 degrees
Closest atoms and distances in Å follow each position.
Space group P1 (No. 1)
One atom of each set of equivalent atoms:
Tm 0.0000 0.0000 0.0000 x1  8 Pb 3.32-3.36, 4 Tm 3.60-3.65
Hg 0.8036 0.7998 0.6096 x1  8 Pb 3.29-3.39, 4 Hg 3.60-3.65
Pb 0.2123 0.1850 0.4162 x1  4 Hg 3.29-3.39, 8 Pb 3.51-3.65
Pb 0.4021 0.4050 0.8063 x1  4 Tm 3.32-3.34, 4 Hg 3.33-3.38, 4 Pb 3.60-3.65
Pb 0.5983 0.5918 0.1947 x1  4 Tm 3.33-3.36, 8 Pb 3.51-3.65

ΔE_f in eV/atom: -0.085
N(E_F) in states/eV/cell: 2.71
Excess energy over the best structure of this formula in the dataset in eV/atom: 0.012

Entry from Alexandria via LeMat-Bulk: a geometry-optimized Tm6HgPb5 structure (PBE).

Cell lengths 5.0133, 15.0272, 8.6086 Å; angles 90.00, 90.00, 90.00 degrees
Closest atoms and distances in Å follow each position.
Space group Cmmm (No. 65)
One atom of each set of equivalent atoms:
Tm 0.0000 0.0000 0.2425 x4  6 Pb 3.23-3.35, 2 Hg 3.26, 4 Tm 3.54
Tm 0.0000 0.3340 0.2433 x8  1 Hg 3.26, 7 Pb 3.27-3.34, 4 Tm 3.54-3.56
Hg 0.0000 0.5000 0.0000 x2  8 Tm 3.26, 4 Pb 3.51
Pb 0.0000 0.1637 0.0000 x4  8 Tm 3.23-3.31, 2 Hg 3.51, 2 Pb 3.61
Pb 0.0000 0.1670 0.5000 x4  8 Tm 3.34-3.35, 4 Pb 3.54-3.55
Pb 0.0000 0.5000 0.5000 x2  8 Tm 3.33-3.35, 4 Pb 3.55

ΔE_f in eV/atom: -0.375
N(E_F) in states/eV/cell: 19.70

Entry from Alexandria via LeMat-Bulk: a geometry-optimized Tm4Hg4Pb5 structure (PBE).

Cell lengths 12.1093, 12.1093, 4.6837 Å; angles 90.00, 90.00, 90.00 degrees
Closest atoms and distances in Å follow each position.
Space group I4/m (No. 87)
One atom of each set of equivalent atoms:
Tm 0.1276 0.2279 0.0000 x8  6 Pb 3.16-3.29, 3 Hg 3.24-3.30
Hg 0.0879 0.6058 0.0000 x8  3 Pb 3.21-3.30, 3 Tm 3.24-3.30, 5 Hg 3.32-3.33
Pb 0.0000 0.0000 0.0000 x2  4 Tm 3.16, 8 Pb 3.48
Pb 0.0590 0.7958 0.5000 x8  3 Hg 3.21-3.30, 5 Tm 3.25-3.29, 2 Pb 3.48

ΔE_f in eV/atom: -0.279
N(E_F) in states/eV/cell: 12.25

Entry from Alexandria via LeMat-Bulk: a geometry-optimized Tm4Hg7Pb structure (PBE).

Cell lengths 12.6414, 5.5147, 10.8969 Å; angles 90.00, 122.26, 90.00 degrees
Closest atoms and distances in Å follow each position.
Space group C2/m (No. 12)
One atom of each set of equivalent atoms:
Tm 0.0839 0.0000 0.2743 x4  8 Hg 3.01-3.20
Tm 0.2376 0.0000 0.8250 x4  6 Hg 3.03-3.20
Hg 0.0000 0.0000 0.5000 x2  2 Pb 2.76
Hg 0.0650 0.5000 0.8481 x4  4 Hg 3.06-3.28, 3 Tm 3.07-3.20, 1 Pb 3.43
Hg 0.1433 0.0000 0.0398 x4  5 Tm 3.02-3.14, 4 Hg 3.21-3.28
Hg 0.2052 0.5000 0.4118 x4  4 Tm 3.01-3.12, 4 Hg 3.06-3.32, 1 Pb 3.21
Pb 0.0000 0.5000 0.5000 x2  2 Hg 2.76

ΔE_f in eV/atom: -0.208
N(E_F) in states/eV/cell: 12.55

no.,total energy (eV per atom)
1,-3.26
2,-4.18
3,-3.17
4,-2.18